Record 1
{"formula": "MgCrP3", "functional": "PBE-GGA", "state": "optimized geometry", "delta_e_f_ev_per_atom": 0.278, "energy_ev_per_atom": -5.21, "e_above_lowest_polymorph_kj_per_mol_fu": 0, "lattice": [[4.496, 0.000, 0.000], [0.000, 4.496, 0.000], [0.000, 0.000, 4.496]], "species": ["Mg", "Cr", "P", "P", "P"], "fractional_positions": [[0.000, 0.000, 0.000], [0.500, 0.500, 0.500], [0.000, 0.500, 0.500], [0.500, 0.000, 0.500], [0.500, 0.500, 0.000]]}



Record 2
{"formula": "MgCrP2", "functional": "PBE-GGA", "state": "optimized geometry", "delta_e_f_ev_per_atom": -0.068, "energy_ev_per_atom": -5.58, "e_above_lowest_polymorph_kj_per_mol_fu": 85, "lattice": [[3.133, 0.000, 0.000], [0.000, 3.133, 0.000], [0.000, 0.000, 6.004]], "species": ["Mg", "Cr", "P", "P"], "fractional_positions": [[0.000, 0.000, 0.000], [0.500, 0.500, 0.646], [0.000, 0.000, 0.543], [0.500, 0.500, 0.259]]}



Record 3
{"formula": "MgCrP2", "functional": "PBE-GGA", "state": "optimized geometry", "delta_e_f_ev_per_atom": -0.250, "energy_ev_per_atom": -5.76, "e_above_lowest_polymorph_kj_per_mol_fu": 14, "lattice": [[2.963, 0.000, 0.000], [0.000, 2.963, 0.000], [-0.700, 0.000, 6.396]], "species": ["Mg", "Cr", "P", "P"], "fractional_positions": [[0.000, 0.000, 0.000], [0.000, 0.000, 0.500], [0.462, 0.500, 0.298], [0.538, 0.500, 0.702]]}



Record 4
{"formula": "MgCrP", "functional": "PBE-GGA", "state": "optimized geometry", "delta_e_f_ev_per_atom": -0.087, "energy_ev_per_atom": -5.63, "lattice": [[5.966, 0.000, 0.000], [0.000, 5.966, 0.000], [0.000, 0.000, 5.966]], "species": ["Mg", "Mg", "Mg", "Mg", "Cr", "Cr", "Cr", "Cr", "P", "P", "P", "P"], "fractional_positions": [[0.000, 0.000, 0.000], [0.000, 0.500, 0.500], [0.500, 0.000, 0.500], [0.500, 0.500, 0.000], [0.000, 0.000, 0.500], [0.000, 0.500, 0.000], [0.500, 0.000, 0.000], [0.500, 0.500, 0.500], [0.250, 0.250, 0.250], [0.250, 0.750, 0.750], [0.750, 0.250, 0.750], [0.750, 0.750, 0.250]]}